1.
This record from the Alexandria database describes crystalline BaIn2Te3 at its relaxed geometry. The functional is PBE.

Values from the calculation:
Raw total energy = -3.52 eV per atom
E_form (uncorrected) = -0.717 eV per atom

a = 4.6834 Å, b = 10.5563 Å, c = 12.9263 Å
α = 114.09°, β = 100.44°, γ = 90.00°
Last column: nearest neighbours and their distance in Å.
Fractional positions:
In  0.9317  0.8379  0.8633  4 Te 2.86-2.88
In  0.0683  0.1621  0.1367  4 Te 2.86-2.88
In  0.2277  0.5853  0.4553  3 Te 3.16-3.36, 2 In 3.42
In  0.7723  0.4147  0.5447  3 Te 3.16-3.36, 2 In 3.42
Te  0.2598  0.2035  0.5196  2 In 3.16, 3 Ba 3.46
Te  0.9503  0.1261  0.9006  2 In 2.86-2.88
Te  0.0497  0.8739  0.0994  2 In 2.86-2.88
Te  0.7402  0.7965  0.4804  2 In 3.16, 3 Ba 3.46
Te  0.3718  0.6899  0.7437  2 In 2.88
Te  0.6282  0.3101  0.2563  2 In 2.88
Ba  0.6617  0.9965  0.3234  6 Te 3.46-3.75
Ba  0.3383  0.0035  0.6766  6 Te 3.46-3.75

***

2.
This record from the Alexandria database describes crystalline BeVB2 at its relaxed geometry. The functional is PBE.

Values from the calculation:
Energy of formation from the pure elements = -0.253 eV/atom
Raw total energy = -6.80 eV per atom

a = 3.1286 Å, b = 3.1286 Å, c = 4.1110 Å
α = 67.63°, β = 67.63°, γ = 60.00°
Last column: nearest neighbours and their distance in Å.
Fractional positions:
V  0.5000  0.5000  0.5000  8 B 2.28-2.29
B  0.7057  0.7057  0.8828  3 Be 1.86, 3 B 2.00
B  0.2943  0.2943  0.1172  3 Be 1.86, 3 B 2.00
Be  0.0000  0.0000  0.0000  6 B 1.86

***

3.
This record from the Alexandria database describes crystalline Cs6KRb8 at its relaxed geometry. The functional is PBE.

Values from the calculation:
Energy of formation from the pure elements = 0.022 eV/atom
Raw total energy = -0.91 eV per atom

a = 13.9475 Å, b = 13.9475 Å, c = 9.0522 Å
α = 90.00°, β = 90.00°, γ = 120.00°
Last column: nearest neighbours and their distance in Å.
Fractional positions:
Rb  0.2675  0.0534  0.1966  1 K 4.39
Rb  0.0534  0.7858  0.8034  1 K 4.39
Rb  0.9466  0.2142  0.1966  1 K 4.39
Rb  0.2142  0.2675  0.8034  1 K 4.39
Rb  0.7858  0.7325  0.1966  1 K 4.39
Rb  0.7325  0.9466  0.8034  1 K 4.39
Rb  0.3333  0.6667  0.7974  3 Rb 4.95, 6 Cs 5.40-5.45
Rb  0.6667  0.3333  0.2026  3 Rb 4.95, 6 Cs 5.40-5.45
Cs  0.9039  0.3604  0.7098  8 Rb 5.02-5.56, 3 Cs 5.13-5.43
Cs  0.0961  0.6396  0.2902  8 Rb 5.02-5.56, 3 Cs 5.13-5.43
Cs  0.6396  0.5434  0.7098  8 Rb 5.02-5.56, 3 Cs 5.13-5.43
Cs  0.4566  0.0961  0.7098  8 Rb 5.02-5.56, 3 Cs 5.13-5.43
Cs  0.3604  0.4566  0.2902  8 Rb 5.02-5.56, 3 Cs 5.13-5.43
Cs  0.5434  0.9039  0.2902  8 Rb 5.02-5.56, 3 Cs 5.13-5.43
K  0.0000  0.0000  0.5000  6 Rb 4.39

***

4.
This record from the Alexandria database describes crystalline Sr2Ag2I at its relaxed geometry. The functional is PBE.

Values from the calculation:
Polymorph energy (0 for the lowest one) = 0.190 eV per atom
Raw total energy = -2.47 eV per atom
E_form (uncorrected) = -0.347 eV per atom

a = 5.8235 Å, b = 5.8235 Å, c = 6.8242 Å
α = 64.74°, β = 64.74°, γ = 90.00°
Last column: nearest neighbours and their distance in Å.
Fractional positions:
Sr  0.2500  0.7500  0.5000  4 Ag 3.22
Sr  0.7500  0.2500  0.5000  4 Ag 3.22
Ag  0.3754  0.3754  0.2492  1 Ag 2.71
Ag  0.6246  0.6246  0.7508  1 Ag 2.71
I  0.0000  0.0000  0.0000  8 Sr 3.99, 10 Ag 4.09-4.34

***

5.
This record from the Alexandria database describes crystalline BaRe2N6 at its relaxed geometry. The functional is PBE.

Values from the calculation:
Raw total energy = -8.15 eV per atom
E_form (uncorrected) = 0.382 eV per atom

a = 5.4844 Å, b = 5.4844 Å, c = 5.2953 Å
α = 90.00°, β = 90.00°, γ = 120.00°
Last column: nearest neighbours and their distance in Å.
Fractional positions:
Ba  0.0000  0.0000  0.0000  6 N 2.85
N  0.0000  0.4399  0.7128  2 Re 1.97
N  0.0000  0.5601  0.2872  2 Re 1.97
N  0.5601  0.5601  0.7128  2 Re 1.97
N  0.5601  0.0000  0.2872  2 Re 1.97
N  0.4399  0.0000  0.7128  2 Re 1.97
N  0.4399  0.4399  0.2872  2 Re 1.97
Re  0.6667  0.3333  0.5000  6 N 1.97
Re  0.3333  0.6667  0.5000  6 N 1.97

***

6.
This record from the Alexandria database describes crystalline LiNdGdHo at its relaxed geometry. The functional is PBE.

Values from the calculation:
Energy of formation from the pure elements = 0.183 eV/atom
Raw total energy = -6.15 eV per atom

a = 5.5400 Å, b = 5.5400 Å, c = 5.5400 Å
α = 60.00°, β = 60.00°, γ = 60.00°
Last column: nearest neighbours and their distance in Å.
Fractional positions:
Li  0.7500  0.7500  0.7500  4 Ho 3.39, 4 Nd 3.39
Nd  0.0000  0.0000  0.0000  4 Gd 3.39, 4 Li 3.39
Gd  0.2500  0.2500  0.2500  4 Ho 3.39, 4 Nd 3.39
Ho  0.5000  0.5000  0.5000  4 Gd 3.39, 4 Li 3.39

***

7.
This record from the Alexandria database describes crystalline UPa3Sn at its relaxed geometry. The functional is PBE.

Values from the calculation:
Energy of formation from the pure elements = 0.132 eV/atom
Raw total energy = -8.62 eV per atom

a = 7.2293 Å, b = 8.3893 Å, c = 8.3892 Å
α = 81.60°, β = 90.00°, γ = 90.00°
Last column: nearest neighbours and their distance in Å.
Fractional positions:
Pa  0.7626  0.0521  0.4478  2 U 2.69-2.76
Pa  0.2374  0.9479  0.5522  2 U 2.69-2.76
Pa  0.5933  0.1652  0.0500  1 U 2.66
Pa  0.0933  0.3348  0.4498  1 U 2.66
Pa  0.9067  0.6652  0.5502  1 U 2.66
Pa  0.7374  0.5522  0.9479  2 U 2.69-2.76
Pa  0.9067  0.9500  0.8348  1 U 2.66
Pa  0.2626  0.4478  0.0521  2 U 2.69-2.76
Pa  0.5933  0.4498  0.3348  1 U 2.66
Pa  0.4067  0.5502  0.6652  1 U 2.66
Pa  0.0933  0.0500  0.1652  1 U 2.66
Pa  0.4067  0.8348  0.9500  1 U 2.66
Sn  0.7500  0.8012  0.1988  8 Pa 3.18-3.32
Sn  0.2500  0.1988  0.8012  8 Pa 3.18-3.32
Sn  0.2500  0.6987  0.3013  8 Pa 3.18-3.32
Sn  0.7500  0.3013  0.6987  8 Pa 3.18-3.32
U  0.4318  0.1649  0.3350  4 Pa 2.66-2.76
U  0.0682  0.6650  0.8351  4 Pa 2.66-2.76
U  0.5682  0.8351  0.6650  4 Pa 2.66-2.76
U  0.9318  0.3350  0.1649  4 Pa 2.66-2.76

***

8.
This record from the Alexandria database describes crystalline Rb2ScGeSe4 at its relaxed geometry. The functional is PBE.

Values from the calculation:
Raw total energy = -4.38 eV per atom
E_form (uncorrected) = -1.031 eV per atom

a = 6.5431 Å, b = 7.9418 Å, c = 12.9009 Å
α = 84.00°, β = 75.31°, γ = 65.67°
Last column: nearest neighbours and their distance in Å.
Fractional positions:
Se  0.4497  0.6994  0.3940  1 Ge 2.54, 1 Sc 2.57
Se  0.5431  0.3006  0.6060  1 Ge 2.54, 1 Sc 2.57
Se  0.8991  0.8006  0.8940  1 Ge 2.54, 1 Sc 2.57
Se  0.1563  0.3006  0.3940  1 Ge 2.54, 1 Sc 2.57
Se  0.5937  0.1994  0.1060  1 Ge 2.54, 1 Sc 2.57
Se  0.8509  0.6994  0.6060  1 Ge 2.54, 1 Sc 2.57
Se  0.2069  0.1994  0.8940  1 Ge 2.54, 1 Sc 2.57
Se  0.3003  0.8006  0.1060  1 Ge 2.54, 1 Sc 2.57
Ge  0.5000  0.0000  0.0000  4 Se 2.54
Ge  0.2500  0.5000  0.5000  4 Se 2.54
Rb  0.8191  0.0000  0.3618  8 Se 3.74-3.97
Rb  0.5691  0.5000  0.8618  8 Se 3.74-3.97
Rb  0.1809  0.0000  0.6382  8 Se 3.74-3.97
Rb  0.9309  0.5000  0.1382  8 Se 3.74-3.97
Sc  0.0000  0.0000  0.0000  4 Se 2.57
Sc  0.7500  0.5000  0.5000  4 Se 2.57

***

9.
This record from the Alexandria database describes crystalline Cs2Cd2P at its relaxed geometry. The functional is PBE.

Values from the calculation:
Polymorph energy (0 for the lowest one) = 0.087 eV per atom
Energy of formation from the pure elements = 0.099 eV/atom
Raw total energy = -1.69 eV per atom

a = 4.1504 Å, b = 4.1504 Å, c = 12.1943 Å
α = 80.20°, β = 80.20°, γ = 90.00°
Last column: nearest neighbours and their distance in Å.
Fractional positions:
Cd  0.2500  0.7500  0.5000  4 Cd 2.93
Cd  0.7500  0.2500  0.5000  4 Cd 2.93
Cs  0.4114  0.4114  0.1772  4 P 3.61
Cs  0.5886  0.5886  0.8228  4 P 3.61
P  0.0000  0.0000  0.0000  8 Cs 3.61

***

10.
This record from the Alexandria database describes crystalline K3AgAs at its relaxed geometry. The functional is PBE.

Values from the calculation:
Polymorph energy (0 for the lowest one) = 0.000 eV per atom
Energy of formation from the pure elements = 0.033 eV/atom
Raw total energy = -2.13 eV per atom

a = 6.3288 Å, b = 6.3288 Å, c = 6.3288 Å
α = 90.00°, β = 90.00°, γ = 90.00°
Last column: nearest neighbours and their distance in Å.
Fractional positions:
Ag  0.5000  0.5000  0.5000  12 K 4.48
K  0.0000  0.0000  0.5000  2 As 3.16
K  0.0000  0.5000  0.0000  2 As 3.16
K  0.5000  0.0000  0.0000  2 As 3.16
As  0.0000  0.0000  0.0000  6 K 3.16

***

11.
This record from the Alexandria database describes crystalline ZrMnW2 at its relaxed geometry. The functional is PBE.

Values from the calculation:
Polymorph energy (0 for the lowest one) = 0.145 eV per atom
Energy of formation from the pure elements = 0.211 eV/atom
Raw total energy = -10.70 eV per atom

a = 4.4957 Å, b = 2.8365 Å, c = 5.1667 Å
α = 79.20°, β = 90.00°, γ = 90.00°
Last column: nearest neighbours and their distance in Å.
Fractional positions:
W  0.0000  0.9853  0.9921  4 W 2.67-2.84, 2 Mn 2.72, 2 Zr 2.79
W  0.0000  0.5147  0.5079  4 W 2.67-2.84, 2 Mn 2.72, 2 Zr 2.79
Zr  0.5000  0.2500  0.2500  2 Mn 2.70, 4 W 2.79, 2 Zr 2.84
Mn  0.5000  0.7500  0.7500  2 Zr 2.70, 4 W 2.72, 2 Mn 2.84

***

12.
This record from the Alexandria database describes crystalline Cs3Cr2H9 at its relaxed geometry. The functional is PBE.

Values from the calculation:
Raw total energy = -3.82 eV per atom

a = 6.3075 Å, b = 6.3075 Å, c = 15.3964 Å
α = 90.00°, β = 90.00°, γ = 120.00°
Last column: nearest neighbours and their distance in Å.
Fractional positions:
H  0.4127  0.2064  0.3970  1 Cr 1.69
H  0.4532  0.5468  0.7500  2 Cr 1.84
H  0.5468  0.0936  0.2500  2 Cr 1.84
H  0.5873  0.7936  0.8970  1 Cr 1.69
H  0.5468  0.4532  0.2500  2 Cr 1.84
H  0.9064  0.4532  0.2500  2 Cr 1.84
H  0.2064  0.4127  0.8970  1 Cr 1.69
H  0.0936  0.5468  0.7500  2 Cr 1.84
H  0.7936  0.2064  0.1030  1 Cr 1.69
H  0.2064  0.7936  0.6030  1 Cr 1.69
H  0.4532  0.9064  0.7500  2 Cr 1.84
H  0.4127  0.2064  0.1030  1 Cr 1.69
H  0.7936  0.2064  0.3970  1 Cr 1.69
H  0.5873  0.7936  0.6030  1 Cr 1.69
H  0.7936  0.5873  0.3970  1 Cr 1.69
H  0.2064  0.7936  0.8970  1 Cr 1.69
H  0.2064  0.4127  0.6030  1 Cr 1.69
H  0.7936  0.5873  0.1030  1 Cr 1.69
Cs  0.3333  0.6667  0.0786  9 H 3.12-3.21
Cs  0.0000  0.0000  0.2500  12 H 3.19
Cs  0.0000  0.0000  0.7500  12 H 3.19
Cs  0.3333  0.6667  0.4214  9 H 3.12-3.21
Cs  0.6667  0.3333  0.5786  9 H 3.12-3.21
Cs  0.6667  0.3333  0.9214  9 H 3.12-3.21
Cr  0.3333  0.6667  0.8341  6 H 1.69-1.84
Cr  0.6667  0.3333  0.1659  6 H 1.69-1.84
Cr  0.3333  0.6667  0.6659  6 H 1.69-1.84
Cr  0.6667  0.3333  0.3341  6 H 1.69-1.84

***

13.
This record from the Alexandria database describes crystalline PmGdGeIr at its relaxed geometry. The functional is PBE.

Values from the calculation:
Energy of formation from the pure elements = -0.615 eV/atom
Raw total energy = -8.69 eV per atom

a = 5.0512 Å, b = 5.0512 Å, c = 5.0512 Å
α = 60.00°, β = 60.00°, γ = 60.00°
Last column: nearest neighbours and their distance in Å.
Fractional positions:
Pm  0.7500  0.7500  0.7500  4 Ir 3.09, 4 Ge 3.09
Ir  0.0000  0.0000  0.0000  4 Pm 3.09, 4 Gd 3.09
Ge  0.5000  0.5000  0.5000  4 Gd 3.09, 4 Pm 3.09
Gd  0.2500  0.2500  0.2500  4 Ge 3.09, 4 Ir 3.09